Entry 1:
K2VI: optimized geometry, PBE.

Cell lengths 8.759, 8.759, 8.759 Å; angles 90.00, 90.00, 90.00 degrees
Fractional coordinates of all 16 atoms:
K: 0.250 0.250 0.250
K: 0.250 0.250 0.750
K: 0.250 0.750 0.250
K: 0.250 0.750 0.750
K: 0.750 0.250 0.250
K: 0.750 0.250 0.750
K: 0.750 0.750 0.250
K: 0.750 0.750 0.750
V: 0.000 0.000 0.000
V: 0.000 0.500 0.500
V: 0.500 0.000 0.500
V: 0.500 0.500 0.000
I: 0.000 0.000 0.500
I: 0.000 0.500 0.000
I: 0.500 0.000 0.000
I: 0.500 0.500 0.500

Summary:
The formation energy without anion corrections is 0.35 eV/atom. For the total DFT energy (no corrections), the calculation gives -45.888 eV per cell. As for the density of states at the Fermi level: 23.8 states/eV per cell.


Entry 2:
Ca2YCo: optimized geometry, PBE.

Cell lengths 4.439, 4.439, 5.374 Å; angles 90.00, 90.00, 90.00 degrees
Fractional coordinates of all 4 atoms:
Ca: 0.000 0.500 0.000
Ca: 0.500 0.000 0.000
Y: 0.000 0.000 0.500
Co: 0.500 0.500 0.500

Summary:
The calculation puts the formation enthalpy at 0 K at 0.393 eV/atom. For the total DFT energy (no corrections), the calculation gives -15.999 eV per cell. As for the density of states at the Fermi level: 6.1 states/eV per cell.


Entry 3:
RbCrAs2: optimized geometry, PBE.

Cell lengths 6.261, 6.261, 13.026 Å; angles 90.00, 90.00, 90.00 degrees
Fractional coordinates of all 16 atoms:
Rb: 0.000 0.250 0.375
Rb: 0.000 0.750 0.625
Rb: 0.500 0.250 0.125
Rb: 0.500 0.750 0.875
Cr: 0.000 0.250 0.875
Cr: 0.000 0.750 0.125
Cr: 0.500 0.250 0.625
Cr: 0.500 0.750 0.375
As: 0.000 0.000 0.000
As: 0.000 0.500 0.000
As: 0.250 0.250 0.750
As: 0.250 0.750 0.250
As: 0.500 0.000 0.500
As: 0.500 0.500 0.500
As: 0.750 0.250 0.750
As: 0.750 0.750 0.250

Summary:
The calculation puts the formation enthalpy at 0 K at -0.149 eV/atom. For the total DFT energy (no corrections), the calculation gives -81.937 eV per cell. As for the density of states at the Fermi level: 0.0 states/eV per cell.


Entry 4:
KSrCeBr6: optimized geometry, PBE.

Cell lengths 7.819, 7.819, 14.149 Å; angles 90.00, 90.00, 120.00 degrees
Fractional coordinates of all 18 atoms:
K: 0.000 0.000 0.000
K: 0.000 0.000 0.500
Sr: 0.333 0.667 0.250
Sr: 0.667 0.333 0.750
Ce: 0.333 0.667 0.750
Ce: 0.667 0.333 0.250
Br: 0.014 0.369 0.633
Br: 0.014 0.645 0.867
Br: 0.355 0.369 0.867
Br: 0.355 0.986 0.633
Br: 0.369 0.014 0.133
Br: 0.369 0.355 0.367
Br: 0.631 0.645 0.633
Br: 0.631 0.986 0.867
Br: 0.645 0.014 0.367
Br: 0.645 0.631 0.133
Br: 0.986 0.355 0.133
Br: 0.986 0.631 0.367

Summary:
The formation energy without anion corrections is -1.92 eV/atom. For the total DFT energy (no corrections), the calculation gives -71.981 eV per cell. As for the density of states at the Fermi level: 16.4 states/eV per cell.


Entry 5:
Nd4DyHo2Er2: optimized geometry, PBE.

Cell lengths 8.040, 8.040, 8.028 Å; angles 107.43, 107.43, 36.78 degrees
Fractional coordinates of all 9 atoms:
Nd: 0.054 0.054 0.331
Nd: 0.277 0.277 0.668
Nd: 0.723 0.723 0.332
Nd: 0.946 0.946 0.669
Dy: 0.500 0.500 0.000
Ho: 0.389 0.389 0.330
Ho: 0.611 0.611 0.670
Er: 0.167 0.167 0.000
Er: 0.833 0.833 0.000

Summary:
The calculation puts the formation enthalpy at 0 K at 0.021 eV/atom. For the total DFT energy (no corrections), the calculation gives -41.763 eV per cell. As for the density of states at the Fermi level: 13.2 states/eV per cell.


Entry 6:
Nd8Y2In: optimized geometry, PBE.

Cell lengths 9.569, 9.569, 8.130 Å; angles 104.98, 104.98, 30.70 degrees
Fractional coordinates of all 11 atoms:
Nd: 0.044 0.044 0.229
Nd: 0.136 0.136 0.678
Nd: 0.322 0.322 0.592
Nd: 0.410 0.410 0.058
Nd: 0.590 0.590 0.942
Nd: 0.678 0.678 0.408
Nd: 0.864 0.864 0.322
Nd: 0.956 0.956 0.771
Y: 0.224 0.224 0.134
Y: 0.776 0.776 0.866
In: 0.500 0.500 0.500

Summary:
The calculation puts the formation enthalpy at 0 K at -0.069 eV/atom. For the total DFT energy (no corrections), the calculation gives -54.567 eV per cell. As for the density of states at the Fermi level: 15.2 states/eV per cell.